No. 1
Pu2FeC4 | PBE | relaxed

Calculated values
- Volume: 180 Å³ per cell
- ρ: 10.93 g cm⁻³
- Crystal system: orthorhombic
- DFT total energy: -10.62 eV per atom
- Space-group type: No. 72

Lattice parameters (Å, degrees): 4.999 6.573 6.573 70.16 67.65 67.65
Fractional coordinates of all 14 atoms:
Pu: 0.648 0.196 0.508
Pu: 0.852 0.492 0.804
C: 0.880 0.775 0.465
C: 0.577 0.755 0.091
C: 0.120 0.225 0.535
Fe: 0.250 0.000 0.000
C: 0.620 0.535 0.225
C: 0.423 0.245 0.909
Fe: 0.750 0.000 0.000
C: 0.077 0.091 0.755
Pu: 0.352 0.804 0.492
C: 0.380 0.465 0.775
Pu: 0.148 0.508 0.196
C: 0.923 0.909 0.245

***

No. 2
PuFeC | PBE | relaxed

Calculated values
- Volume: 171 Å³ per cell
- Distance to the lowest polymorph of the same formula: 0.144 eV/atom
- ρ: 12.10 g cm⁻³
- Crystal system: orthorhombic
- Space-group type: No. 62

Lattice parameters (Å, degrees): 3.804 5.898 7.629 90.00 90.00 90.00
Fractional coordinates of all 12 atoms:
C: 0.250 0.840 0.690
Pu: 0.750 0.630 0.851
Fe: 0.250 0.030 0.902
C: 0.750 0.660 0.190
Pu: 0.250 0.870 0.351
Fe: 0.750 0.970 0.098
Pu: 0.750 0.130 0.649
C: 0.750 0.160 0.310
Fe: 0.250 0.530 0.598
C: 0.250 0.340 0.810
Pu: 0.250 0.370 0.149
Fe: 0.750 0.470 0.402

***

No. 3
PuFeC | PBE | relaxed

Calculated values
- Volume: 165 Å³ per cell
- Distance to the lowest polymorph of the same formula: 0.035 eV/atom
- ρ: 12.58 g cm⁻³
- Crystal system: monoclinic
- Space-group type: No. 6

Lattice parameters (Å, degrees): 3.368 6.119 8.459 109.22 90.00 90.00
Fractional coordinates of all 12 atoms:
C: 0.500 0.183 0.538
Fe: 0.000 0.345 0.610
Fe: 0.500 0.193 0.765
Pu: 0.500 0.368 0.327
Pu: 0.000 0.209 0.107
C: 0.500 0.412 0.991
Fe: 0.500 0.745 0.089
C: 0.000 0.593 0.523
C: 0.000 0.809 0.006
Fe: 0.000 0.488 0.909
Pu: 0.000 0.878 0.385
Pu: 0.500 0.777 0.749

***

No. 4
Pu2FeW2C4 | PBE | relaxed

Calculated values
- Volume: 110 Å³ per cell
- ρ: 14.48 g cm⁻³
- Crystal system: monoclinic
- DFT total energy: -11.16 eV per atom
- Space-group type: No. 12

Lattice parameters (Å, degrees): 3.216 6.420 5.566 98.11 90.00 104.50
Fractional coordinates of all 9 atoms:
W: 0.339 0.677 0.948
C: 0.503 0.006 0.222
Pu: 0.881 0.761 0.464
C: 0.249 0.498 0.250
C: 0.497 0.994 0.778
Fe: 0.000 0.000 0.000
Pu: 0.119 0.239 0.536
W: 0.661 0.323 0.052
C: 0.751 0.502 0.750

***

No. 5
RbFe2C2 | PBE | relaxed

Calculated values
- Volume: 183 Å³ per cell
- Distance to the lowest polymorph of the same formula: 1.054 eV/atom
- ρ: 4.01 g cm⁻³
- Crystal system: tetragonal
- Space-group type: No. 127

Lattice parameters (Å, degrees): 7.835 7.835 2.986 90.00 90.00 90.00
Fractional coordinates of all 10 atoms:
Fe: 0.398 0.102 0.500
C: 0.567 0.067 0.000
Rb: 0.000 0.000 0.000
Fe: 0.898 0.398 0.500
C: 0.067 0.433 0.000
C: 0.933 0.567 0.000
Fe: 0.102 0.602 0.500
C: 0.433 0.933 0.000
Fe: 0.602 0.898 0.500
Rb: 0.500 0.500 0.000

***

No. 6
RbFeC3 | PBE | relaxed

Calculated values
- Volume: 62 Å³ per cell
- Distance to the lowest polymorph of the same formula: 0.000 eV/atom
- ρ: 4.72 g cm⁻³
- Crystal system: cubic
- Space-group type: No. 221

Lattice parameters (Å, degrees): 3.966 3.966 3.966 90.00 90.00 90.00
Fractional coordinates of all 5 atoms:
C: 0.000 0.000 0.500
C: 0.500 0.000 0.000
Fe: 0.000 0.000 0.000
Rb: 0.500 0.500 0.500
C: 0.000 0.500 0.000

***

No. 7
RbFe2C2 | PBE | relaxed

Calculated values
- Volume: 76 Å³ per cell
- Distance to the lowest polymorph of the same formula: 0.000 eV/atom
- ρ: 4.85 g cm⁻³
- Crystal system: tetragonal
- Space-group type: No. 139

Lattice parameters (Å, degrees): 3.521 3.521 6.600 74.53 74.53 90.00
Fractional coordinates of all 5 atoms:
Rb: 0.000 0.000 0.000
C: 0.693 0.693 0.615
Fe: 0.750 0.250 0.500
Fe: 0.250 0.750 0.500
C: 0.307 0.307 0.385

***

No. 8
Rb2FeC | PBE | relaxed

Calculated values
- Volume: 138 Å³ per cell
- ρ: 2.87 g cm⁻³
- Crystal system: cubic
- DFT total energy: -2.87 eV per atom
- Space-group type: No. 225

Lattice parameters (Å, degrees): 5.801 5.801 5.801 60.00 60.00 60.00
Fractional coordinates of all 4 atoms:
Rb: 0.250 0.250 0.250
Rb: 0.750 0.750 0.750
Fe: 0.500 0.500 0.500
C: 0.000 0.000 0.000

***

No. 9
RbFeC3 | PBE | relaxed

Calculated values
- Volume: 80 Å³ per cell
- Distance to the lowest polymorph of the same formula: 2.815 eV/atom
- ρ: 3.69 g cm⁻³
- Crystal system: cubic
- Space-group type: No. 221

Lattice parameters (Å, degrees): 4.306 4.306 4.306 90.00 90.00 90.00
Fractional coordinates of all 5 atoms:
C: 0.000 0.000 0.500
C: 0.500 0.000 0.000
C: 0.000 0.500 0.000
Rb: 0.000 0.000 0.000
Fe: 0.500 0.500 0.500

***

No. 10
RbFe2SbC | PBE | relaxed

Calculated values
- E_form (uncorrected): 3.48 eV per atom
- Volume: 132 Å³ per cell
- ρ: 4.17 g cm⁻³
- Crystal system: tetragonal
- Space-group type: No. 123

Lattice parameters (Å, degrees): 4.615 6.189 4.615 90.00 90.00 90.00
Fractional coordinates of all 5 atoms:
Sb: 0.000 0.500 0.000
C: 0.500 0.500 0.500
Fe: 0.500 0.000 0.000
Rb: 0.000 0.000 0.000
Fe: 0.000 0.000 0.500

***

No. 11
Rb2VFeC | PBE | relaxed

Calculated values
- Volume: 168 Å³ per cell
- ρ: 2.86 g cm⁻³
- Crystal system: tetragonal
- DFT total energy: -4.28 eV per atom
- Space-group type: No. 123

Lattice parameters (Å, degrees): 6.839 3.596 6.839 90.00 90.00 90.00
Fractional coordinates of all 5 atoms:
Rb: 0.000 0.000 0.500
C: 0.000 0.500 0.000
Fe: 0.000 0.000 0.000
Rb: 0.500 0.000 0.000
V: 0.500 0.500 0.500

***

No. 12
Rb2FeWC | PBE | relaxed

Calculated values
- Volume: 187 Å³ per cell
- ρ: 3.76 g cm⁻³
- Crystal system: tetragonal
- DFT total energy: -3.98 eV per atom
- Space-group type: No. 123

Lattice parameters (Å, degrees): 6.561 4.340 6.561 90.00 90.00 90.00
Fractional coordinates of all 5 atoms:
W: 0.000 0.500 0.000
Fe: 0.000 0.000 0.000
Rb: 0.000 0.000 0.500
Rb: 0.500 0.000 0.000
C: 0.500 0.500 0.500

***

No. 13
RbYFe2C | PBE | relaxed

Calculated values
- Volume: 134 Å³ per cell
- ρ: 3.70 g cm⁻³
- Crystal system: tetragonal
- DFT total energy: -4.88 eV per atom
- Space-group type: No. 123

Lattice parameters (Å, degrees): 5.380 4.624 5.380 90.00 90.00 90.00
Fractional coordinates of all 5 atoms:
Fe: 0.000 0.000 0.500
Y: 0.000 0.000 0.000
Rb: 0.500 0.500 0.500
C: 0.000 0.500 0.000
Fe: 0.500 0.000 0.000

***

No. 14
Fe3ReC | PBE | relaxed

Calculated values
- Volume: 90 Å³ per cell
- Distance to the lowest polymorph of the same formula: 2.406 eV/atom
- ρ: 6.78 g cm⁻³
- Crystal system: cubic
- Space-group type: No. 221

Lattice parameters (Å, degrees): 4.475 4.475 4.475 90.00 90.00 90.00
Fractional coordinates of all 5 atoms:
Fe: 0.500 0.000 0.000
Fe: 0.000 0.000 0.500
C: 0.500 0.500 0.500
Re: 0.000 0.000 0.000
Fe: 0.000 0.500 0.000

***

No. 15
FeReC2 | PBE | relaxed

Calculated values
- Volume: 35 Å³ per cell
- ρ: 12.59 g cm⁻³
- Crystal system: cubic
- DFT total energy: -8.83 eV per atom
- Space-group type: No. 225

Lattice parameters (Å, degrees): 3.675 3.675 3.675 60.00 60.00 60.00
Fractional coordinates of all 4 atoms:
C: 0.250 0.250 0.250
Re: 0.500 0.500 0.500
C: 0.750 0.750 0.750
Fe: 0.000 0.000 0.000

***

No. 16
FeRe2C | PBE | relaxed

Calculated values
- Volume: 119 Å³ per cell
- ρ: 12.27 g cm⁻³
- Crystal system: tetragonal
- DFT total energy: -9.69 eV per atom
- Space-group type: No. 122

Lattice parameters (Å, degrees): 4.845 4.845 6.125 66.70 66.70 90.00
Fractional coordinates of all 8 atoms:
Fe: 0.000 0.000 0.000
Re: 0.875 0.824 0.750
Re: 0.375 0.426 0.750
C: 0.500 0.500 0.000
Re: 0.574 0.125 0.250
Fe: 0.750 0.250 0.500
C: 0.250 0.750 0.500
Re: 0.176 0.625 0.250

***

No. 17
Fe3ReC | PBE | relaxed

Calculated values
- Volume: 53 Å³ per cell
- Distance to the lowest polymorph of the same formula: 0.000 eV/atom
- ρ: 11.41 g cm⁻³
- Crystal system: cubic
- Space-group type: No. 221

Lattice parameters (Å, degrees): 3.762 3.762 3.762 90.00 90.00 90.00
Fractional coordinates of all 5 atoms:
Re: 0.500 0.500 0.500
Fe: 0.000 0.500 0.000
Fe: 0.000 0.000 0.500
Fe: 0.500 0.000 0.000
C: 0.000 0.000 0.000

***

No. 18
Fe2ReC | PBE | relaxed

Calculated values
- Volume: 104 Å³ per cell
- ρ: 9.87 g cm⁻³
- Crystal system: tetragonal
- DFT total energy: -8.83 eV per atom
- Space-group type: No. 122

Lattice parameters (Å, degrees): 4.800 4.800 5.658 64.90 64.90 90.00
Fractional coordinates of all 8 atoms:
Fe: 0.209 0.625 0.250
Fe: 0.541 0.125 0.250
C: 0.500 0.500 0.000
Fe: 0.375 0.459 0.750
Re: 0.000 0.000 0.000
C: 0.250 0.750 0.500
Fe: 0.875 0.791 0.750
Re: 0.750 0.250 0.500

***

No. 19
FeRe3C | PBE | relaxed

Calculated values
- Volume: 84 Å³ per cell
- Distance to the lowest polymorph of the same formula: 2.400 eV/atom
- ρ: 12.35 g cm⁻³
- Crystal system: cubic
- Space-group type: No. 221

Lattice parameters (Å, degrees): 4.384 4.384 4.384 90.00 90.00 90.00
Fractional coordinates of all 5 atoms:
Fe: 0.000 0.000 0.000
Re: 0.000 0.000 0.500
Re: 0.000 0.500 0.000
Re: 0.500 0.000 0.000
C: 0.500 0.500 0.500

***

No. 20
FeRe3C | PBE | relaxed

Calculated values
- Volume: 65 Å³ per cell
- Distance to the lowest polymorph of the same formula: 0.000 eV/atom
- ρ: 15.97 g cm⁻³
- Crystal system: cubic
- Space-group type: No. 221

Lattice parameters (Å, degrees): 4.024 4.024 4.024 90.00 90.00 90.00
Fractional coordinates of all 5 atoms:
Fe: 0.500 0.500 0.500
Re: 0.000 0.500 0.000
Re: 0.000 0.000 0.500
C: 0.000 0.000 0.000
Re: 0.500 0.000 0.000